# 1
HgP2PdO6 | PBE | optimized geometry

Computed properties:
Magnetic moment, μB per cell: 0.00
Final energy, eV/atom: -6.0951
Formation energy without anion corrections, eV per atom: -1.49
Theoretical density, g/cm3: 4.42

Unit cell a=8.7636 b=8.7636 c=4.5641 alpha=92.78 beta=92.78 gamma=92.83
Atoms (fractional coordinates):
Hg 0.2299 0.7701 0.7500
Hg 0.7701 0.2299 0.2500
P 0.1790 0.3251 0.2844
P 0.3251 0.1790 0.7844
P 0.6749 0.8210 0.2156
P 0.8210 0.6749 0.7156
Pd 0.3454 0.6546 0.2500
Pd 0.6546 0.3454 0.7500
O 0.0363 0.2268 0.2274
O 0.1698 0.4935 0.2248
O 0.2268 0.0363 0.7274
O 0.2519 0.3191 0.6145
O 0.3191 0.2519 0.1145
O 0.4935 0.1698 0.7248
O 0.5065 0.8302 0.2752
O 0.6809 0.7481 0.8855
O 0.7481 0.6809 0.3855
O 0.7732 0.9637 0.2726
O 0.8302 0.5065 0.7752
O 0.9637 0.7732 0.7726

=====

# 2
PmNdAlRh | PBE | optimized geometry

Computed properties:
N(E_F), states/eV per cell: 3.48
Magnetic moment, μB per cell: 0.00
Final energy, eV/atom: -5.7210
ΔH_f (0 K), eV per atom: -0.57
Theoretical density, g/cm3: 7.01

Unit cell a=3.8286 b=6.1373 c=6.1373 alpha=43.51 beta=90.00 gamma=90.00
Atoms (fractional coordinates):
Pm 0.0000 0.0000 0.0000
Nd 0.5000 0.7091 0.7091
Al 0.0000 0.3031 0.3031
Rh 0.5000 0.4506 0.4506

=====

# 3
Ca2SeBr | PBE | optimized geometry

Computed properties:
N(E_F), states/eV per cell: 2.04
Magnetic moment, μB per cell: 0.64
Final energy, eV/atom: -3.7121
Formation energy without anion corrections, eV per atom: -1.42
Theoretical density, g/cm3: 3.28

Unit cell a=4.0211 b=4.1099 c=7.3183 alpha=90.00 beta=91.15 gamma=90.00
Atoms (fractional coordinates):
Ca 0.1844 0.0000 0.2803
Ca 0.8156 0.0000 0.7197
Se 0.5000 0.5000 0.5000
Br 0.0000 0.5000 0.0000

=====

# 4
Pr6SnGe2Se3 | PBE | optimized geometry

Computed properties:
N(E_F), states/eV per cell: 3.33
Magnetic moment, μB per cell: 0.00
Final energy, eV/atom: -5.7130
Formation energy without anion corrections, eV per atom: -1.35
Theoretical density, g/cm3: 6.36

Unit cell a=9.7545 b=9.7545 c=8.7568 alpha=103.27 beta=103.27 gamma=25.72
Atoms (fractional coordinates):
Pr 0.0026 0.0026 0.2592
Pr 0.3300 0.3300 0.9072
Pr 0.3306 0.3306 0.4224
Pr 0.6694 0.6694 0.5776
Pr 0.6700 0.6700 0.0928
Pr 0.9974 0.9974 0.7408
Sn 0.5000 0.5000 0.0000
Ge 0.1670 0.1670 0.3339
Ge 0.8330 0.8330 0.6661
Se 0.1659 0.1659 0.8319
Se 0.5000 0.5000 0.5000
Se 0.8341 0.8341 0.1681

=====

# 5
KRbBa2Li | PBE | optimized geometry

Computed properties:
N(E_F), states/eV per cell: 5.36
Magnetic moment, μB per cell: 0.00
Final energy, eV/atom: -1.3625
ΔH_f (0 K), eV per atom: 0.20
Theoretical density, g/cm3: 1.98

Unit cell a=6.8682 b=6.8682 c=7.2338 alpha=90.00 beta=90.00 gamma=90.00
Atoms (fractional coordinates):
K 0.0000 0.0000 0.0000
Rb 0.5000 0.5000 0.0000
Ba 0.0000 0.5000 0.5000
Ba 0.5000 0.0000 0.5000
Li 0.5000 0.5000 0.5000

=====

# 6
TaTlIN2 | PBE | optimized geometry

Computed properties:
N(E_F), states/eV per cell: 5.47
Magnetic moment, μB per cell: 0.00
Final energy, eV/atom: -3.9981
Formation energy without anion corrections, eV per atom: 2.49
Theoretical density, g/cm3: 8.57

Unit cell a=4.2290 b=4.2290 c=5.8558 alpha=90.00 beta=90.00 gamma=90.00
Atoms (fractional coordinates):
Ta 0.0000 0.0000 0.0000
Tl 0.5000 0.5000 0.5000
I 0.5000 0.5000 0.0000
N 0.0000 0.5000 0.5000
N 0.5000 0.0000 0.5000

=====

# 7
Ac2SmPaN4 | PBE | optimized geometry

Computed properties:
N(E_F), states/eV per cell: 3.03
Magnetic moment, μB per cell: 0.00
Final energy, eV/atom: -8.3293
Formation energy without anion corrections, eV per atom: -1.36
Theoretical density, g/cm3: 10.28

Unit cell a=6.3097 b=3.6809 c=6.5427 alpha=90.00 beta=108.70 gamma=90.00
Atoms (fractional coordinates):
Ac 0.0000 0.0000 0.0000
Ac 0.5000 0.5000 0.0000
Sm 0.0000 0.5000 0.5000
Pa 0.5000 0.0000 0.5000
N 0.2612 0.0000 0.7088
N 0.2829 0.5000 0.2986
N 0.7171 0.5000 0.7014
N 0.7388 0.0000 0.2912

=====

# 8
Ac2CN4 | PBE | optimized geometry

Computed properties:
N(E_F), states/eV per cell: 3.00
Magnetic moment, μB per cell: 0.00
Final energy, eV/atom: -7.7759
Formation energy without anion corrections, eV per atom: -0.53
Theoretical density, g/cm3: 6.94

Unit cell a=8.6741 b=8.6741 c=8.6741 alpha=154.04 beta=154.04 gamma=37.04
Atoms (fractional coordinates):
Ac 0.1546 0.1546 0.0000
Ac 0.8454 0.8454 0.0000
C 0.5000 0.5000 0.0000
N 0.2500 0.7500 0.5000
N 0.4243 0.4243 0.0000
N 0.5757 0.5757 0.0000
N 0.7500 0.2500 0.5000

=====

# 9
RbTlZnSb | PBE | optimized geometry

Computed properties:
N(E_F), states/eV per cell: 4.36
Magnetic moment, μB per cell: 0.00
Final energy, eV/atom: -2.3609
Formation energy without anion corrections, eV per atom: -0.18
Theoretical density, g/cm3: 5.52

Unit cell a=4.4318 b=4.4318 c=14.6227 alpha=90.00 beta=90.00 gamma=90.00
Atoms (fractional coordinates):
Rb 0.2500 0.2500 0.2451
Rb 0.7500 0.7500 0.7549
Tl 0.2500 0.7500 0.5000
Tl 0.7500 0.2500 0.5000
Zn 0.2500 0.7500 0.0000
Zn 0.7500 0.2500 0.0000
Sb 0.2500 0.2500 0.8857
Sb 0.7500 0.7500 0.1143

=====

# 10
AsS2 | PBE | optimized geometry

Computed properties:
Magnetic moment, μB per cell: 0.00
Final energy, eV/atom: -4.3585
Formation energy without anion corrections, eV per atom: -0.06
Theoretical density, g/cm3: 2.71

Unit cell a=3.8014 b=6.5613 c=7.4459 alpha=71.58 beta=75.36 gamma=87.60
Atoms (fractional coordinates):
As 0.1918 0.4381 0.2163
As 0.8082 0.5619 0.7837
S 0.2831 0.7305 0.9483
S 0.4525 0.3817 0.6363
S 0.5475 0.6183 0.3637
S 0.7169 0.2695 0.0517

=====

# 11
PrYZnAg | PBE | optimized geometry

Computed properties:
N(E_F), states/eV per cell: 3.18
Magnetic moment, μB per cell: 0.00
Final energy, eV/atom: -4.1348
ΔH_f (0 K), eV per atom: -0.29
Theoretical density, g/cm3: 6.67

Unit cell a=5.2164 b=5.2164 c=5.2164 alpha=60.00 beta=60.00 gamma=60.00
Atoms (fractional coordinates):
Pr 0.0000 0.0000 0.0000
Y 0.5000 0.5000 0.5000
Zn 0.2500 0.2500 0.2500
Ag 0.7500 0.7500 0.7500

=====

# 12
LiOs2Au | PBE | optimized geometry

Computed properties:
N(E_F), states/eV per cell: 3.58
Magnetic moment, μB per cell: 0.00
Final energy, eV/atom: -6.2002
ΔH_f (0 K), eV per atom: 0.71
Theoretical density, g/cm3: 17.05

Unit cell a=3.0587 b=3.0587 c=6.0841 alpha=90.00 beta=90.00 gamma=90.00
Atoms (fractional coordinates):
Li 0.0000 0.0000 0.0000
Os 0.5000 0.5000 0.1984
Os 0.5000 0.5000 0.8016
Au 0.0000 0.0000 0.5000

=====

# 13
La5NdYTm2 | PBE | optimized geometry

Computed properties:
N(E_F), states/eV per cell: 27.52
Magnetic moment, μB per cell: 0.00
Final energy, eV/atom: -4.8493
ΔH_f (0 K), eV per atom: 0.13
Theoretical density, g/cm3: 6.57

Unit cell a=11.1971 b=11.1971 c=10.7107 alpha=90.00 beta=90.00 gamma=151.55
Atoms (fractional coordinates):
La 0.0002 0.9998 0.0000
La 0.9998 0.0002 0.5000
La 0.1225 0.8775 0.7503
La 0.2204 0.7796 0.4418
La 0.2212 0.7788 0.0604
La 0.4992 0.5008 0.2501
La 0.5008 0.4992 0.7501
La 0.7788 0.2212 0.5604
La 0.7796 0.2204 0.9418
La 0.8775 0.1225 0.2503
Nd 0.2848 0.7152 0.7510
Nd 0.7152 0.2848 0.2510
Y 0.1000 0.9000 0.2502
Y 0.9000 0.1000 0.7502
Tm 0.3872 0.6128 0.5038
Tm 0.3878 0.6122 0.9965
Tm 0.6122 0.3878 0.4965
Tm 0.6128 0.3872 0.0038

=====

# 14
Pm4Ni2Pb | PBE | optimized geometry

Computed properties:
N(E_F), states/eV per cell: 10.28
Magnetic moment, μB per cell: 0.00
Final energy, eV/atom: -5.2046
ΔH_f (0 K), eV per atom: -0.31
Theoretical density, g/cm3: 8.19

Unit cell a=8.8899 b=8.8899 c=6.9471 alpha=107.58 beta=107.58 gamma=121.66
Atoms (fractional coordinates):
Pm 0.0089 0.9911 0.5000
Pm 0.0224 0.4439 0.2759
Pm 0.2974 0.8648 0.1534
Pm 0.4308 0.5913 0.8428
Pm 0.4439 0.0224 0.7759
Pm 0.5913 0.4308 0.3428
Pm 0.8648 0.2974 0.6534
Pm 0.9911 0.0089 0.0000
Ni 0.0452 0.7170 0.6801
Ni 0.2151 0.3788 0.0100
Ni 0.3788 0.2151 0.5100
Ni 0.7170 0.0452 0.1801
Pb 0.5483 0.7740 0.4702
Pb 0.7740 0.5483 0.9702

=====

# 15
SiCF2 | PBE | optimized geometry

Computed properties:
N(E_F), states/eV per cell: 1.07
Magnetic moment, μB per cell: 0.12
Final energy, eV/atom: -4.5100
Formation energy without anion corrections, eV per atom: 0.09
Theoretical density, g/cm3: 2.48

Unit cell a=9.4438 b=9.4438 c=9.4438 alpha=15.49 beta=15.49 gamma=15.49
Atoms (fractional coordinates):
Si 0.0000 0.0000 0.0000
C 0.5000 0.5000 0.5000
F 0.0585 0.0585 0.0585
F 0.9415 0.9415 0.9415

=====

# 16
Ir12Os4Rh3 | PBE | optimized geometry

Computed properties:
N(E_F), states/eV per cell: 22.00
Magnetic moment, μB per cell: 0.00
Final energy, eV/atom: -8.2802
ΔH_f (0 K), eV per atom: 0.84
Theoretical density, g/cm3: 14.07

Unit cell a=8.0292 b=8.0292 c=8.0292 alpha=109.47 beta=109.47 gamma=109.47
Atoms (fractional coordinates):
Ir 0.0949 0.7348 0.3601
Ir 0.2652 0.3601 0.6253
Ir 0.2652 0.6399 0.9051
Ir 0.3601 0.0949 0.7348
Ir 0.3601 0.6253 0.2652
Ir 0.3747 0.7348 0.6399
Ir 0.6253 0.2652 0.3601
Ir 0.6399 0.3747 0.7348
Ir 0.6399 0.9051 0.2652
Ir 0.7348 0.3601 0.0949
Ir 0.7348 0.6399 0.3747
Ir 0.9051 0.2652 0.6399
Os 0.0000 0.0000 0.5000
Os 0.0000 0.5000 0.0000
Os 0.5000 0.0000 0.0000
Os 0.5000 0.5000 0.5000
Rh 0.0000 0.5000 0.5000
Rh 0.5000 0.0000 0.5000
Rh 0.5000 0.5000 0.0000

=====

# 17
CsMnSeBr2 | PBE | optimized geometry

Computed properties:
N(E_F), states/eV per cell: 4.61
Magnetic moment, μB per cell: 3.99
Final energy, eV/atom: -4.2420
Formation energy without anion corrections, eV per atom: -0.87
Theoretical density, g/cm3: 4.66

Unit cell a=5.5454 b=5.5454 c=4.9433 alpha=90.00 beta=90.00 gamma=90.00
Atoms (fractional coordinates):
Cs 0.0000 0.0000 0.0000
Mn 0.5000 0.5000 0.5000
Se 0.5000 0.5000 0.0000
Br 0.0000 0.5000 0.5000
Br 0.5000 0.0000 0.5000

=====

# 18
CaNd14Sm | PBE | optimized geometry

Computed properties:
N(E_F), states/eV per cell: 26.87
Magnetic moment, μB per cell: 0.00
Final energy, eV/atom: -4.5514
ΔH_f (0 K), eV per atom: 0.04
Theoretical density, g/cm3: 6.41

Unit cell a=11.9155 b=7.4482 c=7.4482 alpha=60.03 beta=90.00 gamma=90.00
Atoms (fractional coordinates):
Ca 0.0000 0.0000 0.0000
Nd 0.0000 0.5012 0.9970
Nd 0.0000 0.9970 0.5012
Nd 0.2479 0.6670 0.6670
Nd 0.2509 0.1699 0.6617
Nd 0.2509 0.6617 0.1699
Nd 0.2515 0.1699 0.1699
Nd 0.5000 0.0004 0.0004
Nd 0.5000 0.9998 0.5004
Nd 0.5000 0.5004 0.9998
Nd 0.5000 0.5006 0.5006
Nd 0.7485 0.1699 0.1699
Nd 0.7491 0.1699 0.6617
Nd 0.7491 0.6617 0.1699
Nd 0.7521 0.6670 0.6670
Sm 0.0000 0.5012 0.5012

=====

# 19
NiSb2Rh | PBE | optimized geometry

Computed properties:
N(E_F), states/eV per cell: 4.94
Magnetic moment, μB per cell: 0.00
Final energy, eV/atom: -5.2742
Formation energy without anion corrections, eV per atom: 0.07
Theoretical density, g/cm3: 7.07

Unit cell a=6.6052 b=6.6052 c=6.6052 alpha=123.91 beta=123.91 gamma=83.35
Atoms (fractional coordinates):
Ni 0.0000 0.0000 0.0000
Ni 0.7500 0.2500 0.5000
Sb 0.1143 0.6250 0.9893
Sb 0.3750 0.3643 0.4893
Sb 0.6357 0.1250 0.0107
Sb 0.8750 0.8857 0.5107
Rh 0.2500 0.7500 0.5000
Rh 0.5000 0.5000 0.0000

=====

# 20
TaCrPt2 | PBE | optimized geometry

Computed properties:
N(E_F), states/eV per cell: 4.62
Magnetic moment, μB per cell: 4.12
Final energy, eV/atom: -8.6866
ΔH_f (0 K), eV per atom: -0.30
Theoretical density, g/cm3: 15.93

Unit cell a=4.5119 b=4.5119 c=4.5119 alpha=60.00 beta=60.00 gamma=60.00
Atoms (fractional coordinates):
Ta 0.0000 0.0000 0.0000
Cr 0.5000 0.5000 0.5000
Pt 0.2500 0.2500 0.2500
Pt 0.7500 0.7500 0.7500